Record 1
The following is a DFT calculation (PBE) of a geometry-optimized FeAs2Ru structure.

Cell: 3.0767 3.4261 11.3864 Å, 90.00 90.00 90.00°
Space group Imm2 (No. 44)
One atom of each set of equivalent atoms:
Fe1 0.0000 0.0000 0.0000 (multiplicity 2)
As1 0.0000 0.0000 0.5800 (multiplicity 2)
As2 0.0000 0.5000 0.3362 (multiplicity 2)
Ru1 0.0000 0.5000 0.7434 (multiplicity 2)

## Properties
- formation enthalpy at 0 K (eV/atom) = -0.0161
- crystal system = orthorhombic
- DOS(E_F) (states/eV per cell) = 4.66



Record 2
The following is a DFT calculation (PBE) of a geometry-optimized FeAs2Ru structure.

Cell: 7.6417 2.9848 5.1202 Å, 90.00 102.67 90.00°
Space group C2/m (No. 12)
One atom of each set of equivalent atoms:
Fe1 0.0000 0.0000 0.0000 (multiplicity 2)
As1 0.2487 0.5000 0.2387 (multiplicity 4)
Ru1 0.0000 0.5000 0.5000 (multiplicity 2)

## Properties
- formation enthalpy at 0 K (eV/atom) = 0.0612
- crystal system = monoclinic
- DOS(E_F) (states/eV per cell) = 6.81



Record 3
The following is a DFT calculation (PBE) of a geometry-optimized Fe4AsRu structure.

Cell: 6.7849 6.7849 6.7849 Å, 90.00 90.00 90.00°
Space group F-43m (No. 216)
One atom of each set of equivalent atoms:
Fe1 0.1248 0.1248 0.1248 (multiplicity 16)
As1 0.0000 0.0000 0.5000 (multiplicity 4)
Ru1 0.2500 0.2500 0.7500 (multiplicity 4)

## Properties
- formation enthalpy at 0 K (eV/atom) = 0.2610
- crystal system = cubic
- DOS(E_F) (states/eV per cell) = 22.03



Record 4
The following is a DFT calculation (PBE) of a geometry-optimized FeAsRu2 structure.

Cell: 2.9366 4.2638 8.6017 Å, 90.00 90.00 90.00°
Space group Imm2 (No. 44)
One atom of each set of equivalent atoms:
Fe1 0.0000 0.0000 0.0000 (multiplicity 2)
As1 0.0000 0.5000 0.2825 (multiplicity 2)
Ru1 0.0000 0.0000 0.5504 (multiplicity 2)
Ru2 0.0000 0.5000 0.7720 (multiplicity 2)

## Properties
- formation enthalpy at 0 K (eV/atom) = 0.0891
- crystal system = orthorhombic
- DOS(E_F) (states/eV per cell) = 9.36



Record 5
The following is a DFT calculation (PBE) of a geometry-optimized FeAs2Ru2 structure.

Cell: 7.1089 7.1089 2.9130 Å, 90.00 90.00 90.00°
Space group P4/mbm (No. 127)
One atom of each set of equivalent atoms:
Fe1 0.0000 0.0000 0.0000 (multiplicity 2)
As1 0.1546 0.3454 0.0000 (multiplicity 4)
Ru1 0.1462 0.6462 0.5000 (multiplicity 4)

## Properties
- formation enthalpy at 0 K (eV/atom) = 0.1213
- crystal system = tetragonal
- DOS(E_F) (states/eV per cell) = 11.45



Record 6
The following is a DFT calculation (PBE) of a geometry-optimized FeAsRu2 structure.

Cell: 8.1668 2.8548 4.8677 Å, 90.00 99.49 90.00°
Space group C2/m (No. 12)
One atom of each set of equivalent atoms:
Fe1 0.0000 0.0000 0.0000 (multiplicity 2)
As1 0.0000 0.5000 0.5000 (multiplicity 2)
Ru1 0.2476 0.5000 0.2491 (multiplicity 4)

## Properties
- formation enthalpy at 0 K (eV/atom) = 0.1092
- crystal system = monoclinic
- DOS(E_F) (states/eV per cell) = 7.00



Record 7
The following is a DFT calculation (PBE) of a geometry-optimized FeAs2Ru structure.

Cell: 2.9968 4.7410 9.5410 Å, 90.00 90.00 90.00°
Space group Cmm2 (No. 35)
One atom of each set of equivalent atoms:
Fe1 0.0000 0.0000 0.0000 (multiplicity 2)
As1 0.0000 0.0000 0.5713 (multiplicity 2)
As2 0.0000 0.5000 0.2044 (multiplicity 2)
Ru1 0.0000 0.5000 0.7790 (multiplicity 2)

## Properties
- formation enthalpy at 0 K (eV/atom) = 0.2520
- crystal system = orthorhombic
- DOS(E_F) (states/eV per cell) = 6.03



Record 8
The following is a DFT calculation (PBE) of a geometry-optimized FeAsRu2 structure.

Cell: 2.7983 2.7983 24.5024 Å, 90.00 90.00 120.00°
Space group R3m (No. 160, hexagonal axes)
One atom of each set of equivalent atoms:
Fe1 0.0000 0.0000 0.0000 (multiplicity 3)
As1 0.0000 0.0000 0.7465 (multiplicity 3)
Ru1 0.0000 0.0000 0.2497 (multiplicity 3)
Ru2 0.0000 0.0000 0.4949 (multiplicity 3)

## Properties
- formation enthalpy at 0 K (eV/atom) = 0.1905
- crystal system = trigonal
- DOS(E_F) (states/eV per cell) = 11.46